[1]
# PBE LiTlTeCl6, relaxed
# Energy: -3.034 eV/atom
# M_tot: 0.00 μB per atom
# E_form (uncorrected): -94 kJ per mole of atoms
# Space-group type: No. 149
# Volume: 279.57 Å³/f.u.
data_LiTlTeCl6
_chemical_formula_sum 'Li1 Tl1 Te1 Cl6'
_cell_length_a 6.735
_cell_length_b 6.735
_cell_length_c 7.117
_cell_angle_alpha 90.00
_cell_angle_beta 90.00
_cell_angle_gamma 120.00
_symmetry_space_group_name_H-M 'P 1'
_symmetry_Int_Tables_number 1
_symmetry_space_group_name_Hall 'P 1'
loop_
_atom_site_label
_atom_site_type_symbol
_atom_site_fract_x
_atom_site_fract_y
_atom_site_fract_z
Li1 Li 0.000 0.000 0.000
Tl1 Tl 0.667 0.333 0.500
Te1 Te 0.333 0.667 0.000
Cl1 Cl 0.038 0.338 0.207
Cl2 Cl 0.038 0.700 0.793
Cl3 Cl 0.300 0.338 0.793
Cl4 Cl 0.300 0.962 0.207
Cl5 Cl 0.662 0.700 0.207
Cl6 Cl 0.662 0.962 0.793

***

[2]
# PBE LiTl2TeCl6, relaxed
# Energy: -3.001 eV/atom
# M_tot: 0.10 μB per atom
# E_form (uncorrected): -88 kJ per mole of atoms
# Space-group type: No. 59
# Volume: 324.95 Å³/f.u.
data_LiTl2TeCl6
_chemical_formula_sum 'Li2 Tl4 Te2 Cl12'
_cell_length_a 7.393
_cell_length_b 10.527
_cell_length_c 8.351
_cell_angle_alpha 90.00
_cell_angle_beta 90.00
_cell_angle_gamma 90.00
_symmetry_space_group_name_H-M 'P 1'
_symmetry_Int_Tables_number 1
_symmetry_space_group_name_Hall 'P 1'
loop_
_atom_site_label
_atom_site_type_symbol
_atom_site_fract_x
_atom_site_fract_y
_atom_site_fract_z
Li1 Li 0.250 0.250 0.203
Li2 Li 0.750 0.750 0.797
Tl1 Tl 0.250 0.502 0.663
Tl2 Tl 0.250 0.998 0.663
Tl3 Tl 0.750 0.002 0.337
Tl4 Tl 0.750 0.498 0.337
Te1 Te 0.250 0.750 0.198
Te2 Te 0.750 0.250 0.802
Cl1 Cl 0.007 0.750 0.415
Cl2 Cl 0.011 0.750 0.977
Cl3 Cl 0.250 0.046 0.313
Cl4 Cl 0.250 0.454 0.313
Cl5 Cl 0.489 0.750 0.977
Cl6 Cl 0.493 0.750 0.415
Cl7 Cl 0.507 0.250 0.585
Cl8 Cl 0.511 0.250 0.023
Cl9 Cl 0.750 0.546 0.687
Cl10 Cl 0.750 0.954 0.687
Cl11 Cl 0.989 0.250 0.023
Cl12 Cl 0.993 0.250 0.585

***

[3]
# PBE LiThCl5, relaxed
# Energy: -4.690 eV/atom
# M_tot: 0.00 μB per atom
# E_form (uncorrected): -197 kJ per mole of atoms
# Space-group type: No. 2
# Volume: 243.31 Å³/f.u.
data_LiThCl5
_chemical_formula_sum 'Li2 Th2 Cl10'
_cell_length_a 7.346
_cell_length_b 7.347
_cell_length_c 10.341
_cell_angle_alpha 69.26
_cell_angle_beta 69.23
_cell_angle_gamma 86.65
_symmetry_space_group_name_H-M 'P 1'
_symmetry_Int_Tables_number 1
_symmetry_space_group_name_Hall 'P 1'
loop_
_atom_site_label
_atom_site_type_symbol
_atom_site_fract_x
_atom_site_fract_y
_atom_site_fract_z
Li1 Li 0.137 0.363 0.250
Li2 Li 0.863 0.637 0.750
Th1 Th 0.000 0.000 0.000
Th2 Th 0.500 0.500 0.500
Cl1 Cl 0.158 0.094 0.165
Cl2 Cl 0.164 0.669 0.548
Cl3 Cl 0.169 0.664 0.048
Cl4 Cl 0.333 0.167 0.750
Cl5 Cl 0.407 0.342 0.335
Cl6 Cl 0.593 0.658 0.665
Cl7 Cl 0.667 0.833 0.250
Cl8 Cl 0.831 0.336 0.952
Cl9 Cl 0.836 0.331 0.452
Cl10 Cl 0.842 0.906 0.835